# BaNbO3

Crystalline BaNbO3 at its relaxed geometry (PBE, the Alexandria database).

Structure (extended XYZ):
```
5
Lattice="-1.185 1.225 3.788 -3.906 -1.123 -0.859 0.771 -3.807 1.472" Properties=species:S:1:pos:R:3 pbc="T T T"
O -2.570 0.030 1.490
O -0.232 -1.312 2.655
Nb -2.185 -1.874 2.226
O -1.593 -2.486 0.332
Ba -0.025 -0.021 0.025
```

Computed properties:
ΔE_f (raw) = -2764 meV/atom